Material: ZnAgW2
Method: DFT, PBEsol
State: relaxed

- E_tot: -7.65 eV per atom
- Formation enthalpy at 0 K: 0.481 eV per atom

Geometry as CIF:
```
data_ZnAgW2
_symmetry_space_group_name_H-M 'P 1'
_symmetry_Int_Tables_number 1
_cell_length_a 2.751
_cell_length_b 2.751
_cell_length_c 9.520
_cell_angle_alpha 81.69
_cell_angle_beta 81.69
_cell_angle_gamma 60.00
loop_
_symmetry_equiv_pos_as_xyz
'x,y,z'
loop_
_atom_site_label
_atom_site_fract_x
_atom_site_fract_y
_atom_site_fract_z
_atom_site_occupancy
Ag1 0.000 0.000 0.000 1
W1 0.247 0.247 0.258 1
W2 0.753 0.753 0.742 1
Zn1 0.500 0.500 0.500 1
```


Material: Ba2LiSi2
Method: DFT, PBEsol
State: relaxed

- E_tot: -3.57 eV per atom
- Raw formation energy: -0.02 eV/atom

Geometry as CIF:
```
data_Ba2LiSi2
_symmetry_space_group_name_H-M 'P 1'
_symmetry_Int_Tables_number 1
_cell_length_a 5.895
_cell_length_b 5.895
_cell_length_c 5.895
_cell_angle_alpha 101.73
_cell_angle_beta 113.47
_cell_angle_gamma 113.47
loop_
_symmetry_equiv_pos_as_xyz
'x,y,z'
loop_
_atom_site_label
_atom_site_fract_x
_atom_site_fract_y
_atom_site_fract_z
_atom_site_occupancy
Ba1 0.500 0.750 0.250 1
Ba2 0.500 0.250 0.750 1
Li1 0.000 0.000 0.000 1
Si1 0.000 0.346 0.346 1
Si2 0.000 0.654 0.654 1
```